[1]
This record from Alexandria via LeMat-Bulk describes La8DyY2 after structural relaxation. The functional is GGA-PBE.

Summary:
N(E_F) = 15.763 states/eV per cell
Energy of formation from the pure elements = 125 meV per atom
ΔE to the lowest computed polymorph = 0.022 eV/atom
Mass density = 6.097 g/cm³

a b c (Å): 6.083 9.288 9.657
angles (deg): 61.26 74.29 55.73
Fractional positions:
1 Y 0.000 0.689 0.622
2 Y 0.000 0.311 0.378
3 Dy 0.500 0.000 0.000
4 La 0.186 0.666 0.238
5 La 0.814 0.096 0.238
6 La 0.186 0.904 0.762
7 La 0.500 0.795 0.409
8 La 0.700 0.580 0.000
9 La 0.500 0.205 0.591
10 La 0.300 0.420 0.000
11 La 0.814 0.334 0.762


[2]
This record from Alexandria via LeMat-Bulk describes Ac2Ni2Ag3 after structural relaxation. The functional is GGA-PBE.

Summary:
N(E_F) = 3.464 states/eV per cell
Energy of formation from the pure elements = -212 meV per atom
ΔE to the lowest computed polymorph = 0.000 eV/atom
Mass density = 9.489 g/cm³

a b c (Å): 4.319 5.621 7.065
angles (deg): 97.83 90.00 112.59
Fractional positions:
1 Ac 0.376 0.752 0.668
2 Ac 0.624 0.248 0.332
3 Ag 0.315 0.630 0.130
4 Ag 0.000 0.000 0.000
5 Ag 0.685 0.370 0.870
6 Ni 0.922 0.845 0.354
7 Ni 0.078 0.155 0.646


[3]
This record from Alexandria via LeMat-Bulk describes KSnI4 after structural relaxation. The functional is GGA-PBE.

Summary:
Uncorrected formation energy = -710 meV/atom
N(E_F) = 0.726 states/eV per cell
ΔE to the lowest computed polymorph = 0.010 eV/atom
Mass density = 3.163 g/cm³

a b c (Å): 7.206 9.327 12.462
angles (deg): 90.00 90.00 123.47
Fractional positions:
1 Sn 0.915 0.112 0.750
2 Sn 0.085 0.888 0.250
3 I 0.687 0.884 0.250
4 I 0.421 0.257 0.250
5 I 0.056 0.675 0.428
6 I 0.944 0.325 0.928
7 I 0.313 0.116 0.750
8 I 0.944 0.325 0.572
9 I 0.579 0.743 0.750
10 I 0.056 0.675 0.072
11 K 0.011 0.657 0.750
12 K 0.989 0.343 0.250